An optimized crystal structure of HoMnSn2, computed with PBE.

Crystal system: monoclinic
Formation energy from the elements (eV/atom): -0.29
Size of the total moment (μB per formula unit): 2.76
Calculated total energy (eV/atom): -5.733

Lattice parameters (Å, degrees): 4.251 5.943 7.557 90.00 90.00 110.93
Each line ends with the local moment (μB).
Atoms (fractional coordinates):
Mn (0.796, 0.589, 0.750)  2.95
Mn (0.204, 0.411, 0.250)  2.95
Sn (0.635, 0.273, 0.457)  -0.07
Sn (0.365, 0.727, 0.543)  -0.07
Ho (0.069, 0.139, 0.750)  -0.13
Sn (0.365, 0.727, 0.957)  -0.07
Ho (0.931, 0.861, 0.250)  -0.12
Sn (0.635, 0.273, 0.043)  -0.07